Ho6TlNi2: optimized geometry, GGA-PBE.

a b c (Å): 8.3939 8.3939 8.3939
angles (deg): 106.44 109.34 112.70
Fractional positions:
Ni (0.3567, 0.0000, 0.3567)
Ni (0.5000, 0.6236, 0.1236)
Ni (0.6433, 0.0000, 0.6433)
Ni (0.5000, 0.3764, 0.8764)
Ho (0.3071, 0.9823, 0.6752)
Ho (0.2059, 0.2325, 0.4384)
Ho (0.4759, 0.2928, 0.1831)
Ho (0.1096, 0.2928, 0.8169)
Ho (0.5241, 0.7072, 0.8169)
Ho (0.7941, 0.7675, 0.5616)
Ho (0.8904, 0.7072, 0.1831)
Ho (0.6929, 0.0177, 0.3248)
Ho (0.3071, 0.6320, 0.3248)
Ho (0.2059, 0.7675, 0.9734)
Ho (0.7941, 0.2325, 0.0266)
Ho (0.6929, 0.3680, 0.6752)
Tl (0.0000, 0.5000, 0.5000)
Tl (0.0000, 0.0000, 0.0000)

Computed properties:
E = -4.93 eV/atom


HoTlNi: optimized geometry, GGA-PBE.

a b c (Å): 4.5848 4.5848 4.5848
angles (deg): 60.00 60.00 60.00
Fractional positions:
Ni (0.2500, 0.2500, 0.2500)
Ho (0.5000, 0.5000, 0.5000)
Tl (0.0000, 0.0000, 0.0000)

Computed properties:
E = -4.46 eV/atom


Ho12Tl5Ni2: optimized geometry, GGA-PBE.

a b c (Å): 7.4521 9.1763 9.6474
angles (deg): 103.15 90.00 113.96
Fractional positions:
Ho (0.9032, 0.3017, 0.5766)
Ho (0.6015, 0.6983, 0.4234)
Ho (0.0139, 0.0278, 0.8325)
Ho (0.5848, 0.6828, 0.9090)
Ho (0.9020, 0.3172, 0.0910)
Ho (0.0980, 0.6828, 0.9090)
Ho (0.3985, 0.3017, 0.5766)
Ho (0.5036, 0.0072, 0.2506)
Ho (0.9861, 0.9722, 0.1675)
Ho (0.0968, 0.6983, 0.4234)
Ho (0.4964, 0.9928, 0.7494)
Ho (0.4152, 0.3172, 0.0910)
Tl (0.6886, 0.3773, 0.8419)
Tl (0.6964, 0.3927, 0.3600)
Tl (0.3036, 0.6073, 0.6400)
Tl (0.3114, 0.6227, 0.1581)
Tl (0.0000, 0.0000, 0.5000)
Ni (0.3129, 0.0000, 0.0000)
Ni (0.6871, 0.0000, 0.0000)

Computed properties:
E = -4.22 eV/atom


Ho4TlNi2: optimized geometry, GGA-PBE.

a b c (Å): 4.7046 4.7046 9.5281
angles (deg): 75.71 75.71 60.00
Fractional positions:
Ho (0.2018, 0.2018, 0.3945)
Ho (0.7982, 0.7982, 0.6055)
Ho (0.6106, 0.6106, 0.1683)
Ho (0.3894, 0.3894, 0.8317)
Ni (0.0996, 0.0996, 0.7012)
Ni (0.9004, 0.9004, 0.2988)
Tl (0.0000, 0.0000, 0.0000)

Computed properties:
E = -4.80 eV/atom


Ho8TlNi2: optimized geometry, GGA-PBE.

a b c (Å): 5.3127 7.9052 7.9052
angles (deg): 114.35 97.65 97.65
Fractional positions:
Ho (0.9240, 0.6664, 0.9237)
Ho (0.0760, 0.3336, 0.0763)
Ho (0.9240, 0.9237, 0.6664)
Ho (0.0760, 0.0763, 0.3336)
Ho (0.5000, 0.7521, 0.2479)
Ho (0.5000, 0.2479, 0.7521)
Ho (0.3033, 0.6077, 0.6077)
Ho (0.6967, 0.3923, 0.3923)
Ni (0.0000, 0.6952, 0.3048)
Ni (0.0000, 0.3048, 0.6952)
Tl (0.5000, 0.0000, 0.0000)

Computed properties:
E = -4.75 eV/atom


Ho11Tl9Ni4: optimized geometry, GGA-PBE.

a b c (Å): 3.6776 13.0754 13.0754
angles (deg): 112.61 90.00 90.00
Fractional positions:
Tl (0.5000, 0.7815, 0.9277)
Tl (0.5000, 0.8473, 0.3698)
Tl (0.5000, 0.6302, 0.1527)
Tl (0.5000, 0.1527, 0.6302)
Tl (0.5000, 0.9277, 0.7815)
Tl (0.5000, 0.0723, 0.2185)
Tl (0.5000, 0.2185, 0.0723)
Tl (0.5000, 0.3698, 0.8473)
Tl (0.5000, 0.5000, 0.5000)
Ho (0.0000, 0.4183, 0.0855)
Ho (0.0000, 0.6874, 0.6874)
Ho (0.0000, 0.1616, 0.8384)
Ho (0.0000, 0.3126, 0.3126)
Ho (0.0000, 0.0000, 0.0000)
Ho (0.0000, 0.9145, 0.5817)
Ho (0.0000, 0.0855, 0.4183)
Ho (0.0000, 0.3748, 0.6252)
Ho (0.0000, 0.5817, 0.9145)
Ho (0.0000, 0.8384, 0.1616)
Ho (0.0000, 0.6252, 0.3748)
Ni (0.5000, 0.5500, 0.7500)
Ni (0.5000, 0.4500, 0.2500)
Ni (0.5000, 0.7500, 0.5500)
Ni (0.5000, 0.2500, 0.4500)

Computed properties:
E = -4.35 eV/atom


HoTlNi: optimized geometry, GGA-PBE.

a b c (Å): 3.6863 7.6787 13.2538
angles (deg): 90.00 90.00 90.00
Fractional positions:
Ho (0.0000, 0.2168, 0.9534)
Ho (0.0000, 0.7832, 0.0466)
Ho (0.0000, 0.2168, 0.5466)
Ho (0.0000, 0.1511, 0.2500)
Ho (0.0000, 0.8489, 0.7500)
Ho (0.0000, 0.7832, 0.4534)
Ni (0.0000, 0.5526, 0.2500)
Ni (0.5000, 0.0571, 0.4114)
Ni (0.0000, 0.4474, 0.7500)
Ni (0.5000, 0.9429, 0.5886)
Ni (0.5000, 0.0571, 0.0886)
Ni (0.5000, 0.9429, 0.9114)
Tl (0.5000, 0.8145, 0.2500)
Tl (0.5000, 0.5763, 0.8830)
Tl (0.5000, 0.1855, 0.7500)
Tl (0.5000, 0.4237, 0.3830)
Tl (0.5000, 0.4237, 0.1170)
Tl (0.5000, 0.5763, 0.6170)

Computed properties:
E = -4.60 eV/atom


Ho3TlNi: optimized geometry, GGA-PBE.

a b c (Å): 5.1737 5.1737 5.1737
angles (deg): 90.00 90.00 90.00
Fractional positions:
Tl (0.5000, 0.5000, 0.5000)
Ho (0.5000, 0.0000, 0.0000)
Ho (0.0000, 0.0000, 0.5000)
Ho (0.0000, 0.5000, 0.0000)
Ni (0.0000, 0.0000, 0.0000)

Computed properties:
E = -4.55 eV/atom
Distance to the lowest polymorph of the same formula = 64.9 kJ/mol of formula units


Ho5TlNi2: optimized geometry, GGA-PBE.

a b c (Å): 7.6584 7.6584 8.5935
angles (deg): 116.46 116.46 90.00
Fractional positions:
Ho (0.2937, 0.7937, 0.2679)
Ho (0.4742, 0.2937, 0.2679)
Ho (0.9742, 0.4742, 0.2679)
Ho (0.5258, 0.7063, 0.7321)
Ho (0.0258, 0.5258, 0.7321)
Ho (0.7063, 0.2063, 0.7321)
Ho (0.7937, 0.9742, 0.2679)
Ho (0.2063, 0.0258, 0.7321)
Ho (0.0000, 0.0000, 0.0000)
Ho (0.5000, 0.5000, 0.0000)
Ni (0.1276, 0.3724, 0.0000)
Ni (0.6276, 0.1276, 0.0000)
Ni (0.8724, 0.6276, 0.0000)
Ni (0.3724, 0.8724, 0.0000)
Tl (0.7500, 0.7500, 0.5000)
Tl (0.2500, 0.2500, 0.5000)

Computed properties:
E = -4.94 eV/atom


Ho3TlNi8: optimized geometry, GGA-PBE.

a b c (Å): 5.0283 5.0283 8.7442
angles (deg): 73.29 73.29 60.00
Fractional positions:
Ni (0.9416, 0.4372, 0.1840)
Ni (0.4372, 0.9416, 0.1840)
Ni (0.4372, 0.4372, 0.1840)
Ni (0.9372, 0.4356, 0.6901)
Ni (0.1876, 0.1876, 0.4372)
Ni (0.6880, 0.6880, 0.9361)
Ni (0.4356, 0.9372, 0.6901)
Ni (0.9372, 0.9372, 0.6901)
Ho (0.5040, 0.5040, 0.4880)
Ho (0.3764, 0.3764, 0.8708)
Ho (0.9955, 0.9955, 0.0135)
Tl (0.8726, 0.8726, 0.3821)

Computed properties:
E = -5.58 eV/atom


Ho7TlNi2: optimized geometry, GGA-PBE.

a b c (Å): 4.9116 8.1067 8.1067
angles (deg): 113.66 90.00 90.00
Fractional positions:
Ho (0.5000, 0.0539, 0.3145)
Ho (0.5000, 0.5000, 0.5000)
Ho (0.0000, 0.2937, 0.7063)
Ho (0.5000, 0.3145, 0.0539)
Ho (0.5000, 0.9461, 0.6855)
Ho (0.5000, 0.6855, 0.9461)
Ho (0.0000, 0.7063, 0.2937)
Ni (0.5000, 0.2961, 0.7039)
Ni (0.5000, 0.7039, 0.2961)
Tl (0.0000, 0.0000, 0.0000)

Computed properties:
E = -4.65 eV/atom


Ho12Tl6Ni: optimized geometry, GGA-PBE.

a b c (Å): 8.2608 8.2608 8.2608
angles (deg): 93.84 93.84 93.84
Fractional positions:
Ho (0.9107, 0.6904, 0.0279)
Ho (0.9721, 0.0893, 0.3096)
Ho (0.2040, 0.4255, 0.5417)
Ho (0.4583, 0.7960, 0.5745)
Ho (0.5417, 0.2040, 0.4255)
Ho (0.6904, 0.0279, 0.9107)
Ho (0.5745, 0.4583, 0.7960)
Ho (0.4255, 0.5417, 0.2040)
Ho (0.7960, 0.5745, 0.4583)
Ho (0.0893, 0.3096, 0.9721)
Ho (0.3096, 0.9721, 0.0893)
Ho (0.0279, 0.9107, 0.6904)
Tl (0.6490, 0.8630, 0.2632)
Tl (0.3510, 0.1370, 0.7368)
Tl (0.7368, 0.3510, 0.1370)
Tl (0.8630, 0.2632, 0.6490)
Tl (0.2632, 0.6490, 0.8630)
Tl (0.1370, 0.7368, 0.3510)
Ni (0.0000, 0.0000, 0.0000)

Computed properties:
E = -4.10 eV/atom


HoTl2Ni: optimized geometry, GGA-PBE.

a b c (Å): 3.5172 3.5172 10.0342
angles (deg): 79.91 79.91 60.00
Fractional positions:
Tl (0.8941, 0.8941, 0.3178)
Tl (0.1059, 0.1059, 0.6822)
Ni (0.5000, 0.5000, 0.5000)
Ho (0.0000, 0.0000, 0.0000)

Computed properties:
E = -3.45 eV/atom


Ho3TlNi: optimized geometry, GGA-PBE.

a b c (Å): 3.8940 8.3397 8.6036
angles (deg): 112.47 90.00 90.00
Fractional positions:
Ho (0.7500, 0.6826, 0.4237)
Ho (0.7500, 0.0409, 0.2318)
Ho (0.7500, 0.3272, 0.9066)
Ho (0.2500, 0.6728, 0.0934)
Ho (0.2500, 0.3174, 0.5763)
Ho (0.2500, 0.9591, 0.7682)
Tl (0.2500, 0.3434, 0.2129)
Tl (0.7500, 0.6566, 0.7871)
Ni (0.7500, 0.0670, 0.5853)
Ni (0.2500, 0.9330, 0.4147)

Computed properties:
E = -4.69 eV/atom
Distance to the lowest polymorph of the same formula = 0.0 kJ/mol of formula units


Ho5Tl2Ni2: optimized geometry, GGA-PBE.

a b c (Å): 7.1138 7.7961 9.0141
angles (deg): 115.62 90.00 90.00
Fractional positions:
Ho (0.1626, 0.2064, 0.7705)
Ho (0.3374, 0.9359, 0.2295)
Ho (0.6626, 0.2936, 0.2295)
Ho (0.6626, 0.0641, 0.7705)
Ho (0.1626, 0.4359, 0.2295)
Ho (0.8374, 0.5641, 0.7705)
Ho (0.3374, 0.7064, 0.7705)
Ho (0.0000, 0.0000, 0.0000)
Ho (0.5000, 0.5000, 0.0000)
Ho (0.8374, 0.7936, 0.2295)
Tl (0.0000, 0.2233, 0.4467)
Tl (0.0000, 0.7767, 0.5533)
Tl (0.5000, 0.2767, 0.5533)
Tl (0.5000, 0.7233, 0.4467)
Ni (0.6237, 0.8769, 0.0000)
Ni (0.3763, 0.1231, 0.0000)
Ni (0.8763, 0.3769, 0.0000)
Ni (0.1237, 0.6231, 0.0000)

Computed properties:
E = -4.69 eV/atom


HoTmTlNi: optimized geometry, GGA-PBE.

a b c (Å): 3.4403 3.4403 7.6933
angles (deg): 90.00 90.00 90.00
Fractional positions:
Ni (0.0000, 0.0000, 0.5669)
Tl (0.0000, 0.0000, 0.0742)
Ho (0.5000, 0.5000, 0.7813)
Tm (0.5000, 0.5000, 0.3622)

Computed properties:
E = -4.68 eV/atom
Distance to the lowest polymorph of the same formula = 0.0 kJ/mol of formula units


HoTmTlNi: optimized geometry, GGA-PBE.

a b c (Å): 5.0673 5.0673 5.0673
angles (deg): 60.00 60.00 60.00
Fractional positions:
Tm (0.2500, 0.2500, 0.2500)
Tl (0.5000, 0.5000, 0.5000)
Ho (0.7500, 0.7500, 0.7500)
Ni (0.0000, 0.0000, 0.0000)

Computed properties:
E = -4.56 eV/atom
Distance to the lowest polymorph of the same formula = 44.4 kJ/mol of formula units


YHoTlNi: optimized geometry, GGA-PBE.

a b c (Å): 5.1076 5.1076 5.1076
angles (deg): 60.00 60.00 60.00
Fractional positions:
Ni (0.0000, 0.0000, 0.0000)
Ho (0.2500, 0.2500, 0.2500)
Tl (0.5000, 0.5000, 0.5000)
Y (0.7500, 0.7500, 0.7500)

Computed properties:
E = -5.06 eV/atom


Ho3Tm3Ni2: optimized geometry, GGA-PBE.

a b c (Å): 3.5909 6.7220 18.1656
angles (deg): 90.00 90.00 105.49
Fractional positions:
Tm (0.0624, 0.1247, 0.9157)
Tm (0.9376, 0.8753, 0.0843)
Tm (0.9376, 0.8753, 0.4157)
Tm (0.7325, 0.4649, 0.2500)
Tm (0.2675, 0.5351, 0.7500)
Tm (0.0624, 0.1247, 0.5843)
Ho (0.4534, 0.9067, 0.2500)
Ho (0.3235, 0.6471, 0.9367)
Ho (0.6765, 0.3529, 0.4367)
Ho (0.6765, 0.3529, 0.0633)
Ho (0.3235, 0.6471, 0.5633)
Ho (0.5466, 0.0933, 0.7500)
Ni (0.3019, 0.6039, 0.3604)
Ni (0.3019, 0.6039, 0.1396)
Ni (0.6981, 0.3961, 0.6396)
Ni (0.6981, 0.3961, 0.8604)

Computed properties:
E = -5.01 eV/atom


HoTm5Ni2: optimized geometry, GGA-PBE.

a b c (Å): 3.8133 8.6417 8.6417
angles (deg): 48.73 77.25 77.25
Fractional positions:
Tm (0.6556, 0.5969, 0.0918)
Tm (0.3444, 0.9082, 0.4031)
Tm (0.3444, 0.4031, 0.9082)
Tm (0.6556, 0.0918, 0.5969)
Tm (0.0000, 0.5000, 0.5000)
Ni (0.8053, 0.6947, 0.6947)
Ni (0.1947, 0.3053, 0.3053)
Ho (0.0000, 0.0000, 0.0000)

Computed properties:
E = -4.97 eV/atom
Distance to the lowest polymorph of the same formula = 19.1 kJ/mol of formula units


Number 1: total moment 0.0 μB per cell, calculated formation energy -2.93 eV per formula unit. Number 2: total moment 0.0 μB per cell, calculated formation energy -0.67 eV per formula unit. Number 3: total moment 0.3 μB per cell, calculated formation energy -1.84 eV per formula unit. Number 4: total moment 0.0 μB per cell, calculated formation energy -1.33 eV per formula unit. Number 5: total moment 0.0 μB per cell, calculated formation energy -1.73 eV per formula unit. Number 6: total moment 0.0 μB per cell, calculated formation energy -9.65 eV per formula unit. Number 7: total moment 0.0 μB per cell, calculated formation energy -1.08 eV per formula unit. Number 8: total moment 0.0 μB per cell, calculated formation energy -0.89 eV per formula unit. Number 9: total moment 0.0 μB per cell, calculated formation energy -2.71 eV per formula unit. Number 10: total moment 0.0 μB per cell, calculated formation energy -4.56 eV per formula unit. Number 11: total moment 0.0 μB per cell, calculated formation energy -0.54 eV per formula unit. Number 12: total moment 0.0 μB per cell, calculated formation energy -2.93 eV per formula unit. Number 13: total moment 0.0 μB per cell, calculated formation energy 1.30 eV per formula unit. Number 14: total moment 0.0 μB per cell, calculated formation energy -1.56 eV per formula unit. Number 15: total moment 0.0 μB per cell, calculated formation energy -3.02 eV per formula unit. Number 16: total moment 0.0 μB per cell, calculated formation energy -1.50 eV per formula unit. Number 17: total moment 0.0 μB per cell, calculated formation energy -1.04 eV per formula unit. Number 18: total moment 0.0 μB per cell, calculated formation energy -1.04 eV per formula unit. Number 19: total moment 0.0 μB per cell, calculated formation energy -1.39 eV per formula unit. Number 20: total moment 0.0 μB per cell, calculated formation energy -1.24 eV per formula unit.